# 1
VASP calculation (PBE) on SnTeF2 after structural relaxation.

The structure in extended XYZ format:
```
4
Lattice="0.0000 3.3004 3.3004 3.3004 0.0000 3.3004 3.3004 3.3004 0.0000" Properties=species:S:1:pos:R:3 pbc="T T T"
Sn 0.0000 0.0000 0.0000
Te 3.3004 3.3004 3.3004
F 1.6502 1.6502 1.6502
F 4.9507 4.9507 4.9507
```

Summary:
Fermi-level density of states = 2.17 states/eV per cell
Calculated density = 6.57 g/cm³
ΔE_f (raw) = -904 meV per atom

# 2
VASP calculation (PBE) on ZnBr3O after structural relaxation.

The structure in extended XYZ format:
```
10
Lattice="7.0755 0.0000 0.0000 2.5112 6.6830 0.0000 1.2822 2.5616 6.6147" Properties=species:S:1:pos:R:3 pbc="T T T"
Zn 0.0000 0.0000 0.0000
Zn 4.3610 2.8836 5.7660
Br 1.2322 3.2041 0.1677
Br 3.8806 7.6077 4.4539
Br 3.4208 2.1511 3.5107
Br 4.8274 5.3773 0.6975
Br 6.4216 4.0044 5.4677
Br 8.3660 5.6962 1.7712
O 2.6772 3.9904 6.3185
O 9.2438 6.6503 5.2917
```

Summary:
Calculated density = 3.41 g/cm³
ΔE_f (raw) = -397 meV per atom

# 3
VASP calculation (PBE) on Nb2VMo after structural relaxation.

The structure in extended XYZ format:
```
4
Lattice="-1.4944 2.2411 5.2542 1.4944 -2.2411 5.2542 1.4944 2.2411 -5.2542" Properties=species:S:1:pos:R:3 pbc="T T T"
Nb 0.0000 0.0000 2.5751
Nb 0.0000 0.0000 7.9333
V 0.0000 0.0000 0.0000
Mo 0.0000 0.0000 5.2542
```

Summary:
Fermi-level density of states = 4.40 states/eV per cell
Calculated density = 7.85 g/cm³
Energy of formation = 2.7 eV/f.u.

# 4
VASP calculation (PBE) on SrInOs2 after structural relaxation.

The structure in extended XYZ format:
```
4
Lattice="4.8638 -1.5252 0.0000 4.8638 1.5252 0.0000 -1.2738 0.0000 5.8943" Properties=species:S:1:pos:R:3 pbc="T T T"
Sr 0.0000 0.0000 0.0000
In 4.2269 0.0000 2.9472
Os 1.4291 0.0000 3.9027
Os 7.0247 0.0000 1.9916
```

Summary:
Fermi-level density of states = 3.52 states/eV per cell
Calculated density = 11.07 g/cm³
Energy of formation = 2.8 eV/f.u.